Below is a relaxed CsPr2Re2N6 crystal, with properties calculated at the GGA-PBE level.

Values from the calculation:
Density ... 5.79 Mg/m³
Crystal system ... triclinic
Formation energy (no corrections) ... -0.54 eV/atom

CIF file:
```
data_CsPr2Re2N6
_chemical_formula_sum 'Cs1 Pr2 Re2 N6'
_cell_length_a 6.7723
_cell_length_b 6.7901
_cell_length_c 7.2193
_cell_angle_alpha 63.29
_cell_angle_beta 63.47
_cell_angle_gamma 61.99
_symmetry_space_group_name_H-M 'P -1'
_symmetry_Int_Tables_number 2
_symmetry_space_group_name_Hall '-P 1'
loop_
_atom_site_label
_atom_site_type_symbol
_atom_site_fract_x
_atom_site_fract_y
_atom_site_fract_z
Cs1 Cs 0.0000 0.0000 0.0000
Pr1 Pr 0.3273 0.3271 0.2801
Re1 Re 0.3825 0.3812 0.6817
N1 N 0.0887 0.5071 0.6668
N2 N 0.4246 0.4208 0.8969
N3 N 0.4914 0.9112 0.3349
```